Record 1
La2BeGa4Pt3 | Alexandria | PBE | relaxed; D(E_F) = 0.67 states/eV per atom; total energy = -5.21 eV/atom; formation enthalpy at 0 K = -0.83 eV per atom
1.0
-3.793 -0.858 -1.809
2.002 -1.576 -3.451
0.063 -9.613 4.428
Ga Pt La Be
4 3 2 1
Direct
0.000 0.500 0.376 Ga
0.500 0.000 0.624 Ga
0.500 0.500 0.000 Ga
0.000 0.000 0.000 Ga
0.500 0.000 0.865 Pt
0.000 0.000 0.500 Pt
0.000 0.500 0.135 Pt
0.500 0.000 0.253 La
0.000 0.500 0.747 La
0.500 0.500 0.500 Be

Record 2
LaBeGaPt2 | Alexandria | PBE | relaxed; energy above the lowest structure with this stoichiometry = 1.397 eV per atom; D(E_F) = 1.21 states/eV per atom; total energy = -4.20 eV/atom; formation enthalpy at 0 K = 0.55 eV per atom
1.0
4.796 0.000 0.000
0.000 5.643 0.000
0.000 0.000 4.796
Pt Ga Be La
2 1 1 1
Direct
0.500 0.000 0.000 Pt
0.000 0.000 0.500 Pt
0.000 0.000 0.000 Ga
0.500 0.500 0.500 Be
0.000 0.500 0.000 La

Record 3
La3Be2GaPt9 | Alexandria | PBE | relaxed; D(E_F) = 0.25 states/eV per atom; total energy = -6.17 eV/atom; formation enthalpy at 0 K = -0.86 eV per atom
1.0
-1.946 1.137 -5.444
4.000 -4.238 0.874
-6.961 -6.329 1.167
Pt Ga Be La
9 1 2 3
Direct
0.835 0.165 0.700 Pt
0.500 0.000 0.000 Pt
0.000 0.500 0.000 Pt
0.671 0.835 0.300 Pt
0.500 0.500 0.000 Pt
0.165 0.835 0.300 Pt
0.835 0.671 0.700 Pt
0.329 0.165 0.700 Pt
0.165 0.329 0.300 Pt
0.000 0.000 0.500 Ga
0.667 0.333 0.847 Be
0.333 0.667 0.153 Be
0.333 0.667 0.641 La
0.667 0.333 0.359 La
0.000 0.000 0.000 La

Record 4
La2BeGa3Pt12 | Alexandria | PBE | relaxed; D(E_F) = 0.59 states/eV per atom; total energy = -5.85 eV/atom; formation enthalpy at 0 K = -0.56 eV per atom
1.0
8.806 1.080 0.766
5.287 7.124 0.766
5.287 3.078 6.470
Pt La Ga Be
12 2 3 1
Direct
0.921 0.921 0.338 Pt
0.414 0.819 0.414 Pt
0.819 0.414 0.414 Pt
0.079 0.662 0.079 Pt
0.586 0.181 0.586 Pt
0.181 0.586 0.586 Pt
0.662 0.079 0.079 Pt
0.079 0.079 0.662 Pt
0.586 0.586 0.181 Pt
0.921 0.338 0.921 Pt
0.414 0.414 0.819 Pt
0.338 0.921 0.921 Pt
0.343 0.343 0.343 La
0.657 0.657 0.657 La
0.000 0.000 0.500 Ga
0.000 0.500 0.000 Ga
0.500 0.000 0.000 Ga
0.000 0.000 0.000 Be

Record 5
LaBeGaPt2 | Alexandria | PBE | relaxed; energy above the lowest structure with this stoichiometry = 0.249 eV per atom; D(E_F) = 0.53 states/eV per atom; total energy = -5.35 eV/atom; formation enthalpy at 0 K = -0.60 eV per atom
1.0
4.598 0.000 0.000
0.000 4.598 0.000
0.000 0.000 4.369
La Be Ga Pt
1 1 1 2
Direct
0.500 0.500 0.500 La
0.000 0.000 0.000 Be
0.000 0.000 0.500 Ga
0.000 0.500 0.000 Pt
0.500 0.000 0.000 Pt

Record 6
La2BeGa3Pt4 | Alexandria | PBE | relaxed; D(E_F) = 0.89 states/eV per atom; total energy = -5.60 eV/atom; formation enthalpy at 0 K = -0.92 eV per atom
1.0
-1.577 -3.856 -0.848
2.461 -1.674 3.036
-7.687 1.583 7.104
La Ga Pt Be
2 3 4 1
Direct
0.000 0.500 0.740 La
0.500 0.000 0.260 La
0.000 0.000 0.500 Ga
0.500 0.000 0.865 Ga
0.000 0.500 0.135 Ga
0.500 0.500 0.000 Pt
0.000 0.500 0.377 Pt
0.000 0.000 0.000 Pt
0.500 0.000 0.623 Pt
0.500 0.500 0.500 Be

Record 7
La2Be3GaPt4 | Alexandria | PBE | relaxed; D(E_F) = 0.47 states/eV per atom; total energy = -5.70 eV/atom; formation enthalpy at 0 K = -0.88 eV per atom
1.0
-1.678 -0.247 -3.795
-0.678 -4.062 0.564
-9.052 2.048 3.871
Be Ga La Pt
3 1 2 4
Direct
0.000 0.500 0.114 Be
0.500 0.000 0.886 Be
0.000 0.000 0.500 Be
0.500 0.500 0.500 Ga
0.500 0.000 0.244 La
0.000 0.500 0.756 La
0.500 0.500 0.000 Pt
0.500 0.000 0.642 Pt
0.000 0.000 0.000 Pt
0.000 0.500 0.358 Pt

Record 8
LaBeGaPt2 | Alexandria | PBE | relaxed; energy above the lowest structure with this stoichiometry = 0.000 eV per atom; D(E_F) = 0.56 states/eV per atom; total energy = -5.60 eV/atom; formation enthalpy at 0 K = -0.85 eV per atom
1.0
-2.209 0.276 -3.486
-1.627 -3.731 0.735
-2.195 4.071 4.168
Ga Be Pt La
1 1 2 1
Direct
0.250 0.750 0.500 Ga
0.750 0.250 0.500 Be
0.625 0.625 0.251 Pt
0.375 0.375 0.749 Pt
0.000 0.000 0.000 La

Record 9
Rb2LaBeGa | Alexandria | PBE | relaxed; D(E_F) = 1.33 states/eV per atom; total energy = -1.90 eV/atom; formation enthalpy at 0 K = 0.83 eV per atom
1.0
-5.340 0.270 3.535
-3.247 -0.087 -4.898
-0.173 -6.403 0.228
Rb Be La Ga
2 1 1 1
Direct
0.500 0.000 0.000 Rb
0.000 0.000 0.500 Rb
0.000 0.000 0.000 Be
0.000 0.500 0.000 La
0.500 0.500 0.500 Ga

Record 10
LaBeGaRh3 | Alexandria | PBE | relaxed; D(E_F) = 0.91 states/eV per atom; total energy = -6.15 eV/atom; formation enthalpy at 0 K = -0.53 eV per atom
1.0
-5.149 2.914 0.601
-2.096 -4.391 3.331
3.146 4.897 3.215
Be Ga Rh La
2 2 6 2
Direct
0.750 0.021 0.042 Be
0.250 0.979 0.958 Be
0.750 0.626 0.252 Ga
0.250 0.374 0.748 Ga
0.500 0.738 0.000 Rh
0.000 0.738 0.000 Rh
0.750 0.829 0.659 Rh
0.500 0.262 0.000 Rh
0.250 0.171 0.341 Rh
0.000 0.262 0.000 Rh
0.250 0.725 0.450 La
0.750 0.275 0.550 La

Record 11
La2Be2GaRh5 | Alexandria | PBE | relaxed; D(E_F) = 0.49 states/eV per atom; total energy = -6.40 eV/atom; formation enthalpy at 0 K = -0.69 eV per atom
1.0
3.387 0.000 0.000
0.000 9.705 0.000
0.000 0.000 9.705
La Be Rh Ga
4 4 10 2
Direct
0.000 0.678 0.178 La
0.000 0.822 0.678 La
0.000 0.178 0.322 La
0.000 0.322 0.822 La
0.000 0.381 0.119 Be
0.000 0.881 0.381 Be
0.000 0.619 0.881 Be
0.000 0.119 0.619 Be
0.500 0.214 0.067 Rh
0.500 0.433 0.286 Rh
0.500 0.933 0.214 Rh
0.500 0.286 0.567 Rh
0.500 0.000 0.500 Rh
0.500 0.500 0.000 Rh
0.500 0.714 0.433 Rh
0.500 0.567 0.714 Rh
0.500 0.067 0.786 Rh
0.500 0.786 0.933 Rh
0.000 0.000 0.000 Ga
0.000 0.500 0.500 Ga

Record 12
La2BeGaRh6 | Alexandria | PBE | relaxed; D(E_F) = 1.14 states/eV per atom; total energy = -6.52 eV/atom; formation enthalpy at 0 K = -0.45 eV per atom
1.0
-2.489 5.561 -1.730
-5.605 -2.798 -0.933
-5.163 2.204 2.926
Be Rh La Ga
1 6 2 1
Direct
0.500 0.500 0.000 Be
0.264 0.736 0.000 Rh
0.736 0.264 0.000 Rh
0.736 0.736 0.000 Rh
0.264 0.264 0.000 Rh
0.736 0.736 0.529 Rh
0.264 0.264 0.471 Rh
0.750 0.250 0.500 La
0.250 0.750 0.500 La
0.000 0.000 0.000 Ga

Question: D(E_F) of number 11 (La2Be2GaRh5)?
Answer: 0.49 states/eV per atom

Question: formation enthalpy at 0 K of number 12 (La2BeGaRh6)?
Answer: -0.45 eV per atom